Entry 1:
Below is an optimized crystal structure of NaCd8In2, with properties calculated at the PBE-GGA level.

a b c (Å): 7.2909 7.2909 8.9130
angles (deg): 122.48 122.48 43.66
Element x y z (fractional)
Na1 0.0000 0.0000 0.0000
Cd1 0.0808 0.0808 0.7190
Cd2 0.1855 0.1855 0.4578
Cd3 0.2805 0.2805 0.2057
Cd4 0.4552 0.4552 0.6510
Cd5 0.5448 0.5448 0.3490
Cd6 0.7195 0.7195 0.7943
Cd7 0.8145 0.8145 0.5422
Cd8 0.9192 0.9192 0.2810
In1 0.3520 0.3520 0.9120
In2 0.6480 0.6480 0.0880

Values from the calculation:
Space-group type: C2/m (12)
Calculated density: 7.17 g cm⁻³
DFT total energy: -1.28 eV per atom
Energy of formation from the pure elements: -0.3 meV/atom



Entry 2:
Below is an optimized crystal structure of LiZnCo2, with properties calculated at the PBE-GGA level.

a b c (Å): 2.5371 3.5980 5.2642
angles (deg): 90.00 90.00 90.00
Element x y z (fractional)
Li1 0.0000 0.0000 0.0000
Zn1 0.5000 0.5000 0.2529
Co1 0.0000 0.0000 0.5285
Co2 0.5000 0.5000 0.7274

Values from the calculation:
Space-group type: Pmm2 (25)
Calculated density: 6.57 g cm⁻³
DFT total energy: -4.31 eV per atom
Energy of formation from the pure elements: 39.6 meV/atom



Entry 3:
Below is an optimized crystal structure of La6Co3Sb, with properties calculated at the PBE-GGA level.

a b c (Å): 11.5486 4.1626 12.3297
angles (deg): 90.00 106.34 90.00
Element x y z (fractional)
La1 0.0163 0.2500 0.3899
La2 0.1058 0.2500 0.9466
La3 0.2037 0.7500 0.2621
La4 0.2880 0.7500 0.7852
La5 0.3458 0.2500 0.5407
La6 0.4163 0.7500 0.0908
La7 0.5837 0.2500 0.9092
La8 0.6542 0.7500 0.4593
La9 0.7120 0.2500 0.2148
La10 0.7963 0.2500 0.7379
La11 0.8942 0.7500 0.0534
La12 0.9837 0.7500 0.6101
Co1 0.0270 0.2500 0.1652
Co2 0.1718 0.7500 0.4899
Co3 0.3466 0.2500 0.9215
Co4 0.6534 0.7500 0.0785
Co5 0.8282 0.2500 0.5101
Co6 0.9730 0.7500 0.8348
Sb1 0.4467 0.2500 0.3119
Sb2 0.5533 0.7500 0.6881

Values from the calculation:
Space-group type: P2_1/m (11)
Calculated density: 6.61 g cm⁻³
DFT total energy: -5.81 eV per atom
Raw formation energy: -0.307 eV per atom



Entry 4:
Below is an optimized crystal structure of K3Rh, with properties calculated at the PBE-GGA level.

a b c (Å): 3.8179 3.8179 11.8099
angles (deg): 90.00 90.00 90.00
Element x y z (fractional)
K1 0.0000 0.0000 0.0000
K2 0.5000 0.5000 0.3410
K3 0.5000 0.5000 0.6590
Rh1 0.0000 0.0000 0.5000

Values from the calculation:
Space-group type: P4/mmm (123)
Calculated density: 2.12 g cm⁻³
DFT total energy: -2.10 eV per atom
Energy of formation from the pure elements: 560.7 meV/atom



Entry 5:
Below is an optimized crystal structure of ScTa2Rh, with properties calculated at the PBE-GGA level.

a b c (Å): 3.1941 3.1941 7.0346
angles (deg): 90.00 90.00 90.00
Element x y z (fractional)
Sc1 0.0000 0.0000 0.0000
Ta1 0.0000 0.0000 0.5303
Ta2 0.5000 0.5000 0.2749
Rh1 0.5000 0.5000 0.7479

Values from the calculation:
Space-group type: P4mm (99)
Calculated density: 11.79 g cm⁻³
DFT total energy: -9.62 eV per atom
Energy of formation from the pure elements: -274.1 meV/atom



Entry 6:
Below is an optimized crystal structure of Zn3Cu7Ni2, with properties calculated at the PBE-GGA level.

a b c (Å): 3.6314 3.6314 11.3791
angles (deg): 99.10 99.10 90.00
Element x y z (fractional)
Zn1 0.0000 0.0000 0.0000
Zn2 0.3325 0.3325 0.6644
Zn3 0.6675 0.6675 0.3356
Cu1 0.0843 0.5842 0.1687
Cu2 0.2500 0.7500 0.5000
Cu3 0.4158 0.9157 0.8313
Cu4 0.5000 0.5000 0.0000
Cu5 0.5842 0.0843 0.1687
Cu6 0.7500 0.2500 0.5000
Cu7 0.9157 0.4158 0.8313
Ni1 0.1663 0.1663 0.3330
Ni2 0.8337 0.8337 0.6670

Values from the calculation:
Space-group type: C2/m (12)
Calculated density: 8.61 g cm⁻³
DFT total energy: -3.75 eV per atom
Energy of formation from the pure elements: -76.9 meV/atom



Entry 7:
Below is an optimized crystal structure of Cs3Ho2TmTe6, with properties calculated at the PBE-GGA level.

a b c (Å): 7.8444 7.8444 9.2892
angles (deg): 98.10 98.10 120.00
Element x y z (fractional)
Cs1 0.0000 0.0000 0.0000
Cs2 0.3327 0.6673 0.0000
Cs3 0.6673 0.3327 0.0000
Ho1 0.1666 0.8334 0.5000
Ho2 0.8334 0.1666 0.5000
Tm1 0.5000 0.5000 0.5000
Te1 0.1058 0.4373 0.3117
Te2 0.2314 0.2314 0.6885
Te3 0.4373 0.1058 0.3117
Te4 0.5627 0.8942 0.6883
Te5 0.7686 0.7686 0.3115
Te6 0.8942 0.5627 0.6883

Values from the calculation:
Space-group type: C2/m (12)
Calculated density: 5.81 g cm⁻³
DFT total energy: -4.29 eV per atom
Raw formation energy: -1.371 eV per atom



Entry 8:
Below is an optimized crystal structure of CdCoPb2, with properties calculated at the PBE-GGA level.

a b c (Å): 7.2429 7.2429 7.2429
angles (deg): 154.80 144.34 44.17
Element x y z (fractional)
Cd1 0.0000 0.0000 0.0000
Co1 0.1762 0.6762 0.5000
Pb1 0.3608 0.3608 0.0000
Pb2 0.6703 0.1703 0.5000

Values from the calculation:
Space-group type: Imm2 (44)
Calculated density: 10.34 g cm⁻³
DFT total energy: -3.58 eV per atom
Energy of formation from the pure elements: 283.9 meV/atom



Entry 9:
Below is an optimized crystal structure of TmSiRh3, with properties calculated at the PBE-GGA level.

a b c (Å): 6.9262 6.9262 3.5607
angles (deg): 90.00 90.00 108.46
Element x y z (fractional)
Tm1 0.2245 0.7755 0.0000
Tm2 0.7755 0.2245 0.0000
Si1 0.2103 0.2103 0.0000
Si2 0.7897 0.7897 0.0000
Rh1 0.0000 0.0000 0.5000
Rh2 0.1723 0.4297 0.5000
Rh3 0.4297 0.1723 0.5000
Rh4 0.5000 0.5000 0.0000
Rh5 0.5703 0.8277 0.5000
Rh6 0.8277 0.5703 0.5000

Values from the calculation:
Space-group type: Cmmm (65)
Calculated density: 10.37 g cm⁻³
DFT total energy: -7.20 eV per atom
Raw formation energy: -0.809 eV per atom



Entry 10:
Below is an optimized crystal structure of La2Pr5Dy6, with properties calculated at the PBE-GGA level.

a b c (Å): 11.8300 20.9122 3.6388
angles (deg): 90.00 90.00 90.00
Element x y z (fractional)
La1 0.1803 0.2269 0.0000
La2 0.3197 0.7269 0.0000
La3 0.6803 0.2731 0.0000
La4 0.8197 0.7731 0.0000
Pr1 0.0000 0.5000 0.5000
Pr2 0.0780 0.7873 0.5000
Pr3 0.1997 0.0607 0.5000
Pr4 0.3003 0.5607 0.5000
Pr5 0.4220 0.2873 0.5000
Pr6 0.5000 0.0000 0.5000
Pr7 0.5780 0.7127 0.5000
Pr8 0.6997 0.4393 0.5000
Pr9 0.8003 0.9393 0.5000
Pr10 0.9220 0.2127 0.5000
Dy1 0.0673 0.6411 0.0000
Dy2 0.0677 0.9297 0.0000
Dy3 0.1862 0.3773 0.5000
Dy4 0.3138 0.8773 0.5000
Dy5 0.4323 0.4297 0.0000
Dy6 0.4327 0.1411 0.0000
Dy7 0.5673 0.8589 0.0000
Dy8 0.5677 0.5703 0.0000
Dy9 0.6862 0.1227 0.5000
Dy10 0.8138 0.6227 0.5000
Dy11 0.9323 0.0703 0.0000
Dy12 0.9327 0.3589 0.0000

Values from the calculation:
Space-group type: Pbam (55)
Calculated density: 7.22 g cm⁻³
DFT total energy: -4.63 eV per atom
Energy of formation from the pure elements: 90.0 meV/atom



Entry 11:
Below is an optimized crystal structure of Na3Y2USe6, with properties calculated at the PBE-GGA level.

a b c (Å): 7.2056 7.2056 7.4330
angles (deg): 99.31 99.31 119.99
Element x y z (fractional)
Na1 0.0000 0.0000 0.0000
Na2 0.3329 0.6671 0.0000
Na3 0.6671 0.3329 0.0000
Y1 0.1666 0.8334 0.5000
Y2 0.8334 0.1666 0.5000
U1 0.5000 0.5000 0.5000
Se1 0.0866 0.4227 0.2680
Se2 0.2416 0.2416 0.7323
Se3 0.4227 0.0866 0.2680
Se4 0.5773 0.9134 0.7320
Se5 0.7584 0.7584 0.2677
Se6 0.9134 0.5773 0.7320

Values from the calculation:
Space-group type: C2/m (12)
Calculated density: 5.03 g cm⁻³
DFT total energy: -5.61 eV per atom
Raw formation energy: -1.516 eV per atom



Entry 12:
Below is an optimized crystal structure of NaGa2HgIr, with properties calculated at the PBE-GGA level.

a b c (Å): 4.7984 4.7984 5.3725
angles (deg): 90.00 90.00 90.00
Element x y z (fractional)
Na1 0.0000 0.0000 0.0000
Ga1 0.0000 0.5000 0.5000
Ga2 0.5000 0.0000 0.5000
Hg1 0.5000 0.5000 0.0000
Ir1 0.5000 0.5000 0.5000

Values from the calculation:
Space-group type: P4/mmm (123)
Calculated density: 7.45 g cm⁻³
DFT total energy: -3.52 eV per atom
Energy of formation from the pure elements: -210.2 meV/atom



Entry 13:
Below is an optimized crystal structure of Ti2H2I, with properties calculated at the PBE-GGA level.

a b c (Å): 5.7855 5.7855 5.7855
angles (deg): 143.86 143.86 52.04
Element x y z (fractional)
Ti1 0.1820 0.1820 0.0000
Ti2 0.8180 0.8180 0.0000
H1 0.2500 0.7500 0.5000
H2 0.7500 0.2500 0.5000
I1 0.5000 0.5000 0.0000

Values from the calculation:
Space-group type: I4/mmm (139)
Calculated density: 5.57 g cm⁻³
DFT total energy: -4.90 eV per atom



Entry 14:
Below is an optimized crystal structure of Zr2Co, with properties calculated at the PBE-GGA level.

a b c (Å): 4.4154 4.4154 4.4154
angles (deg): 124.20 115.21 90.69
Element x y z (fractional)
Zr1 0.2486 0.2486 0.0000
Zr2 0.7514 0.7514 0.0000
Co1 0.5000 0.0000 0.5000

Values from the calculation:
Space-group type: Immm (71)
Calculated density: 6.61 g cm⁻³
DFT total energy: -8.10 eV per atom
Energy of formation from the pure elements: -35.1 meV/atom



Entry 15:
Below is an optimized crystal structure of CoSbI2Br, with properties calculated at the PBE-GGA level.

a b c (Å): 5.7813 5.7813 5.8168
angles (deg): 90.00 90.00 90.00
Element x y z (fractional)
Co1 0.0000 0.0000 0.0000
Sb1 0.5000 0.5000 0.0000
I1 0.0000 0.5000 0.5000
I2 0.5000 0.0000 0.5000
Br1 0.5000 0.5000 0.5000

Values from the calculation:
Space-group type: P4/mmm (123)
Calculated density: 4.39 g cm⁻³
DFT total energy: -1.93 eV per atom
Raw formation energy: 1.267 eV per atom



Entry 16:
Below is an optimized crystal structure of SrSc3Se, with properties calculated at the PBE-GGA level.

a b c (Å): 5.2694 5.2694 5.2694
angles (deg): 90.00 90.00 90.00
Element x y z (fractional)
Sr1 0.0000 0.0000 0.0000
Sc1 0.0000 0.0000 0.5000
Sc2 0.0000 0.5000 0.0000
Sc3 0.5000 0.0000 0.0000
Se1 0.5000 0.5000 0.5000

Values from the calculation:
Space-group type: Pm-3m (221)
Calculated density: 3.42 g cm⁻³
DFT total energy: -3.57 eV per atom
Raw formation energy: 1.265 eV per atom



Entry 17:
Below is an optimized crystal structure of BaCd2Se, with properties calculated at the PBE-GGA level.

a b c (Å): 4.3034 4.3034 7.2474
angles (deg): 90.00 90.00 90.00
Element x y z (fractional)
Ba1 0.0000 0.0000 0.0000
Cd1 0.0000 0.0000 0.4791
Cd2 0.5000 0.5000 0.4554
Se1 0.5000 0.5000 0.8535

Values from the calculation:
Space-group type: P4mm (99)
Calculated density: 5.46 g cm⁻³
DFT total energy: -2.52 eV per atom
Raw formation energy: -0.709 eV per atom



Entry 18:
Below is an optimized crystal structure of Ta3NbFe, with properties calculated at the PBE-GGA level.

a b c (Å): 4.5733 4.5733 4.5733
angles (deg): 90.00 90.00 90.00
Element x y z (fractional)
Ta1 0.0000 0.0000 0.5000
Ta2 0.0000 0.5000 0.0000
Ta3 0.5000 0.0000 0.0000
Nb1 0.5000 0.5000 0.5000
Fe1 0.0000 0.0000 0.0000

Values from the calculation:
Space-group type: Pm-3m (221)
Calculated density: 12.01 g cm⁻³
DFT total energy: -10.08 eV per atom
Energy of formation from the pure elements: 743.0 meV/atom



Entry 19:
Below is an optimized crystal structure of In2ReB2, with properties calculated at the PBE-GGA level.

a b c (Å): 8.8433 8.8433 8.8433
angles (deg): 161.12 161.12 26.82
Element x y z (fractional)
In1 0.1207 0.1207 0.0000
In2 0.8793 0.8793 0.0000
Re1 0.5000 0.5000 0.0000
B1 0.2500 0.7500 0.5000
B2 0.7500 0.2500 0.5000

Values from the calculation:
Space-group type: I4/mmm (139)
Calculated density: 10.04 g cm⁻³
DFT total energy: -5.18 eV per atom
Energy of formation from the pure elements: 1073.1 meV/atom



Entry 20:
Below is an optimized crystal structure of KInAs, with properties calculated at the PBE-GGA level.

a b c (Å): 5.2025 5.2025 5.2025
angles (deg): 60.00 60.00 60.00
Element x y z (fractional)
K1 0.0000 0.0000 0.0000
In1 0.2500 0.2500 0.2500
As1 0.7500 0.7500 0.7500

Values from the calculation:
Space-group type: F-43m (216)
Calculated density: 3.82 g cm⁻³
DFT total energy: -2.47 eV per atom
Energy of formation from the pure elements: 357.3 meV/atom